1.
# Na2AlCu2

A geometry-optimized Na2AlCu2 structure (PBE, Alexandria).

Cell lengths 6.359, 6.359, 4.925 Å; angles 90.00, 90.00, 90.00 degrees
Space group P4/mbm (No. 127)
One atom of each set of equivalent atoms:
Na: 0.176 0.324 0.000 x4
Al: 0.000 0.000 0.500 x2
Cu: 0.135 0.635 0.500 x4

Values from the calculation:
**E**: -13.758 eV/f.u.
**Energy of formation from the pure elements**: 0.16 eV/atom

***

2.
# Ba2TeH

A geometry-optimized Ba2TeH structure (PBE, Alexandria).

Cell lengths 8.071, 8.071, 8.071 Å; angles 90.00, 90.00, 90.00 degrees
Space group Fm-3m (No. 225)
One atom of each set of equivalent atoms:
Ba: 0.250 0.250 0.250 x8
Te: 0.000 0.000 0.000 x4
H: 0.000 0.000 0.500 x4

Values from the calculation:
**Offset from the most stable computed form**: 0.946 eV/f.u.
**E**: -13.444 eV/f.u.

***

3.
# LiPm6Al2

A geometry-optimized LiPm6Al2 structure (PBE, Alexandria).

Cell lengths 16.044, 7.612, 5.042 Å; angles 90.00, 108.14, 90.00 degrees
Space group C2/m (No. 12)
One atom of each set of equivalent atoms:
Li: 0.000 0.000 0.000 x2
Pm: 0.000 0.263 0.500 x4
Pm: 0.167 0.255 0.168 x8
Al: 0.168 0.500 0.668 x4

Values from the calculation:
**E**: -36.656 eV/f.u.
**Energy of formation from the pure elements**: 0.14 eV/atom

***

4.
# MnTcHg2Ge

A geometry-optimized MnTcHg2Ge structure (PBE, Alexandria).

Cell lengths 5.308, 5.308, 4.468 Å; angles 90.00, 90.00, 90.00 degrees
Space group P4/mmm (No. 123)
One atom of each set of equivalent atoms:
Mn: 0.000 0.000 0.000 x1
Tc: 0.000 0.000 0.500 x1
Hg: 0.000 0.500 0.500 x2
Ge: 0.500 0.500 0.000 x1

Values from the calculation:
**E**: -19.549 eV/f.u.
**Energy of formation from the pure elements**: 1.04 eV/atom